The following is a PBE calculation of a relaxed structure of CaCu2Sb2, from Alexandria.

Output
DFT total energy ... -3.744 eV/atom
DOS at the Fermi energy ... 2.2 states/eV/f.u.
ρ ... 6.28 g/cm3
Uncorrected formation energy ... -0.056 eV per atom

Lattice parameters (Å, degrees): 8.013 8.013 3.381 90.00 90.00 90.00
Space group P4/mbm (No. 127)
One atom of each set of equivalent atoms:
Ca 0.000 0.000 0.000 [2 per cell]
Cu 0.130 0.370 0.500 [4 per cell]
Sb 0.155 0.655 0.000 [4 per cell]


The following is a PBE calculation of a relaxed structure of Ca2CuSb, from Alexandria.

Output
DFT total energy ... -3.419 eV/atom
DOS at the Fermi energy ... 2.0 states/eV/f.u.
ρ ... 4.25 g/cm3
Uncorrected formation energy ... -0.363 eV per atom

Lattice parameters (Å, degrees): 4.457 4.457 10.441 90.00 90.00 90.00
Space group I-4m2 (No. 119)
One atom of each set of equivalent atoms:
Ca 0.000 0.000 0.000 [2 per cell]
Ca 0.000 0.500 0.250 [2 per cell]
Cu 0.000 0.500 0.750 [2 per cell]
Sb 0.000 0.000 0.500 [2 per cell]


The following is a PBE calculation of a relaxed structure of CaCuSb2, from Alexandria.

Output
DFT total energy ... -3.841 eV/atom
DOS at the Fermi energy ... 1.7 states/eV/f.u.
ρ ... 5.74 g/cm3
Uncorrected formation energy ... -0.255 eV per atom

Lattice parameters (Å, degrees): 8.566 4.032 6.023 90.00 105.11 90.00
Space group C2/m (No. 12)
One atom of each set of equivalent atoms:
Ca 0.000 0.000 0.000 [2 per cell]
Cu 0.000 0.500 0.500 [2 per cell]
Sb 0.237 0.000 0.686 [4 per cell]


The following is a PBE calculation of a relaxed structure of CaCu2Sb2, from Alexandria.

Output
DFT total energy ... -3.897 eV/atom
DOS at the Fermi energy ... 3.1 states/eV/f.u.
ρ ... 6.52 g/cm3
Uncorrected formation energy ... -0.209 eV per atom

Lattice parameters (Å, degrees): 7.687 7.687 3.538 90.00 90.00 90.00
Space group P4/mbm (No. 127)
One atom of each set of equivalent atoms:
Ca 0.000 0.000 0.000 [2 per cell]
Cu 0.114 0.386 0.000 [4 per cell]
Sb 0.179 0.679 0.500 [4 per cell]


The following is a PBE calculation of a relaxed structure of Ca5Cu2Sb5, from Alexandria.

Output
DFT total energy ... -3.987 eV/atom
DOS at the Fermi energy ... 3.8 states/eV/f.u.
ρ ... 4.79 g/cm3
Uncorrected formation energy ... -0.753 eV per atom

Lattice parameters (Å, degrees): 16.094 4.430 12.037 90.00 130.85 90.00
Space group C2/m (No. 12)
One atom of each set of equivalent atoms:
Ca 0.000 0.000 0.000 [2 per cell]
Ca 0.105 0.000 0.413 [4 per cell]
Ca 0.194 0.000 0.821 [4 per cell]
Cu 0.140 0.500 0.249 [4 per cell]
Sb 0.000 0.500 0.500 [2 per cell]
Sb 0.063 0.500 0.860 [4 per cell]
Sb 0.248 0.000 0.318 [4 per cell]


The following is a PBE calculation of a relaxed structure of Ca3Cu2Sb3, from Alexandria.

Output
DFT total energy ... -3.991 eV/atom
DOS at the Fermi energy ... 2.8 states/eV/f.u.
ρ ... 5.12 g/cm3
Uncorrected formation energy ... -0.670 eV per atom

Lattice parameters (Å, degrees): 4.454 11.579 15.410 90.00 90.00 90.00
Space group Cmcm (No. 63)
One atom of each set of equivalent atoms:
Ca 0.000 0.075 0.104 [8 per cell]
Ca 0.000 0.343 0.250 [4 per cell]
Cu 0.000 0.236 0.603 [8 per cell]
Sb 0.000 0.363 0.750 [4 per cell]
Sb 0.000 0.365 0.048 [8 per cell]


The following is a PBE calculation of a relaxed structure of Ca2CuSb, from Alexandria.

Output
DFT total energy ... -3.249 eV/atom
DOS at the Fermi energy ... 2.9 states/eV/f.u.
ρ ... 3.92 g/cm3
Uncorrected formation energy ... -0.194 eV per atom

Lattice parameters (Å, degrees): 3.688 3.688 8.272 90.00 90.00 90.00
Space group P4mm (No. 99)
One atom of each set of equivalent atoms:
Ca 0.000 0.000 0.000 [1 per cell]
Ca 0.500 0.500 0.380 [1 per cell]
Cu 0.000 0.000 0.602 [1 per cell]
Sb 0.500 0.500 0.753 [1 per cell]


The following is a PBE calculation of a relaxed structure of CaCu3Sb3, from Alexandria.

Output
DFT total energy ... -3.796 eV/atom
DOS at the Fermi energy ... 5.4 states/eV/f.u.
ρ ... 5.43 g/cm3
Uncorrected formation energy ... 0.012 eV per atom

Lattice parameters (Å, degrees): 7.142 7.142 7.142 90.00 90.00 90.00
Space group Pm-3n (No. 223)
One atom of each set of equivalent atoms:
Ca 0.000 0.000 0.000 [2 per cell]
Cu 0.000 0.250 0.500 [6 per cell]
Sb 0.000 0.500 0.250 [6 per cell]